Record 1
{"formula": "Pm5Ho6", "functional": "PBE", "state": "optimized geometry", "delta_e_f_ev_per_atom": 0.14, "dos_ef_per_ev_cell": 12.2, "space_group": "C2/m (12)", "lattice": [[-5.832, 6.942, -0.336], [-4.976, 2.034, 5.900], [3.034, 5.183, 2.257]], "species": ["Pm", "Pm", "Pm", "Pm", "Pm", "Ho", "Ho", "Ho", "Ho", "Ho", "Ho"], "frac_coords": [[0.500, 0.000, 0.500], [0.370, 0.260, 0.000], [0.630, 0.740, 0.000], [0.239, 0.522, 0.500], [0.761, 0.478, 0.500], [0.838, 0.000, 0.692], [0.162, 0.000, 0.308], [0.305, 0.742, 0.826], [0.953, 0.742, 0.174], [0.695, 0.258, 0.174], [0.047, 0.258, 0.826]]}

---

Record 2
{"formula": "CaCe3Sm2P6", "functional": "PBE", "state": "optimized geometry", "delta_e_f_ev_per_atom": -1.46, "dos_ef_per_ev_cell": 13.2, "space_group": "C2/m (12)", "lattice": [[7.122, 0.000, 0.001], [-3.559, 6.169, 0.001], [-1.188, -2.057, 6.680]], "species": ["Ca", "Ce", "Ce", "Ce", "Sm", "Sm", "P", "P", "P", "P", "P", "P"], "frac_coords": [[0.000, 0.000, 0.000], [0.166, 0.834, 0.500], [0.834, 0.166, 0.500], [0.500, 0.500, 0.500], [0.333, 0.667, 0.000], [0.667, 0.333, 0.000], [0.914, 0.577, 0.743], [0.748, 0.748, 0.257], [0.086, 0.423, 0.257], [0.577, 0.914, 0.743], [0.252, 0.252, 0.743], [0.423, 0.086, 0.257]]}

---

Record 3
{"formula": "YZn2Cl", "functional": "PBE", "state": "optimized geometry", "de_polymorph_mev_per_atom": 0, "dos_ef_per_ev_cell": 2.4, "space_group": "P4mm (99)", "e_form_raw_kj_per_mol_atoms": -57, "lattice": [[3.354, 0.000, 0.000], [0.000, 3.354, 0.000], [0.000, 0.000, 8.361]], "species": ["Cl", "Y", "Zn", "Zn"], "frac_coords": [[0.000, 0.000, 0.572], [0.500, 0.500, 0.765], [0.000, 0.000, 0.010], [0.500, 0.500, 0.154]]}

---

Record 4
{"formula": "ThAl10Cu2", "functional": "PBE", "state": "optimized geometry", "delta_e_f_ev_per_atom": -0.18, "dos_ef_per_ev_cell": 5.6, "space_group": "Fmmm (69)", "lattice": [[-5.033, -1.214, 0.299], [-1.787, -1.979, 6.851], [-3.853, 5.264, 1.496]], "species": ["Th", "Al", "Al", "Al", "Al", "Al", "Al", "Al", "Al", "Al", "Al", "Cu", "Cu"], "frac_coords": [[0.000, 0.000, 0.000], [0.353, 0.639, 0.656], [0.647, 0.361, 0.344], [0.992, 0.361, 0.656], [0.008, 0.639, 0.344], [0.000, 0.000, 0.500], [0.500, 0.000, 0.500], [0.273, 0.238, 0.217], [0.727, 0.762, 0.783], [0.510, 0.762, 0.217], [0.490, 0.238, 0.783], [0.000, 0.500, 0.000], [0.500, 0.500, 0.000]]}